a:
Density functional theory data (PBE) for a relaxed structure of GePd3S.

The structure in CIF format:
```
data_GePd3S
_chemical_formula_sum 'Ge1 Pd3 S1'
_cell_length_a 4.529
_cell_length_b 4.529
_cell_length_c 4.529
_cell_angle_alpha 90.00
_cell_angle_beta 90.00
_cell_angle_gamma 90.00
_space_group_name_H-M_alt 'P m -3 m'
_space_group_IT_number 221
_space_group_name_Hall '-P 4 2 3'
loop_
_atom_site_label
_atom_site_fract_x
_atom_site_fract_y
_atom_site_fract_z
Ge1 0.000 0.000 0.000
Pd1 0.000 0.500 0.500
S1 0.500 0.500 0.500
```

Mass density, g cm⁻³: 7.58

b:
Density functional theory data (PBE) for a relaxed structure of GePd3S.

The structure in CIF format:
```
data_GePd3S
_chemical_formula_sum 'Ge4 Pd12 S4'
_cell_length_a 15.145
_cell_length_b 3.263
_cell_length_c 6.856
_cell_angle_alpha 90.00
_cell_angle_beta 92.64
_cell_angle_gamma 90.00
_space_group_name_H-M_alt 'C 1 2/m 1'
_space_group_IT_number 12
loop_
_space_group_symop_operation_xyz
'x,y,z'
'-x,-y,-z'
'-x,y,-z'
'x,-y,z'
'x+1/2,y+1/2,z'
'-x+1/2,-y+1/2,-z'
'-x+1/2,y+1/2,-z'
'x+1/2,-y+1/2,z'
loop_
_atom_site_label
_atom_site_fract_x
_atom_site_fract_y
_atom_site_fract_z
Ge1 0.191 0.000 0.250
Pd1 0.035 0.000 0.322
Pd2 0.160 0.500 0.529
Pd3 0.194 0.000 0.877
S1 0.064 0.500 0.812
```

Mass density, g cm⁻³: 8.32

c:
Density functional theory data (PBE) for a relaxed structure of GePd3S.

The structure in CIF format:
```
data_GePd3S
_chemical_formula_sum 'Ge1 Pd3 S1'
_cell_length_a 4.639
_cell_length_b 4.639
_cell_length_c 4.639
_cell_angle_alpha 90.00
_cell_angle_beta 90.00
_cell_angle_gamma 90.00
_space_group_name_H-M_alt 'P m -3 m'
_space_group_IT_number 221
_space_group_name_Hall '-P 4 2 3'
loop_
_atom_site_label
_atom_site_fract_x
_atom_site_fract_y
_atom_site_fract_z
Ge1 0.000 0.000 0.000
Pd1 0.000 0.000 0.500
S1 0.500 0.500 0.500
```

Mass density, g cm⁻³: 7.05

Short version: c is the least stable of them.

a:
Density functional theory data (PBE) for a relaxed structure of GeSbPd.

The structure in CIF format:
```
data_GeSbPd
_chemical_formula_sum 'Ge4 Sb4 Pd4'
_cell_length_a 3.189
_cell_length_b 3.189
_cell_length_c 24.296
_cell_angle_alpha 90.00
_cell_angle_beta 90.00
_cell_angle_gamma 90.00
_space_group_name_H-M_alt 'I 4/m m m'
_space_group_IT_number 139
_space_group_name_Hall '-I 4 2'
loop_
_atom_site_label
_atom_site_fract_x
_atom_site_fract_y
_atom_site_fract_z
Ge1 0.000 0.000 0.053
Sb1 0.000 0.000 0.191
Pd1 0.000 0.000 0.389
```

Mass density, g cm⁻³: 8.09

b:
Density functional theory data (PBE) for a relaxed structure of GeSbPd.

The structure in CIF format:
```
data_GeSbPd
_chemical_formula_sum 'Ge4 Sb4 Pd4'
_cell_length_a 6.365
_cell_length_b 6.365
_cell_length_c 6.365
_cell_angle_alpha 90.00
_cell_angle_beta 90.00
_cell_angle_gamma 90.00
_space_group_name_H-M_alt 'F -4 3 m'
_space_group_IT_number 216
_space_group_name_Hall 'F -4 2 3'
loop_
_atom_site_label
_atom_site_fract_x
_atom_site_fract_y
_atom_site_fract_z
Ge1 0.000 0.000 0.000
Sb1 0.000 0.000 0.500
Pd1 0.250 0.250 0.750
```

Mass density, g cm⁻³: 7.75

Short version: a is the least stable of them.

a:
Density functional theory data (PBE) for a relaxed structure of GeSbPd.

The structure in CIF format:
```
data_GeSbPd
_chemical_formula_sum 'Ge1 Sb1 Pd1'
_cell_length_a 4.1099
_cell_length_b 4.1099
_cell_length_c 4.4706
_cell_angle_alpha 90.00
_cell_angle_beta 90.00
_cell_angle_gamma 120.00
_space_group_name_H-M_alt 'P 3 m 1'
_space_group_IT_number 156
loop_
_space_group_symop_operation_xyz
'x,y,z'
'-y,x-y,z'
'-x+y,-x,z'
'-y,-x,z'
'-x+y,y,z'
'x,x-y,z'
loop_
_atom_site_label
_atom_site_fract_x
_atom_site_fract_y
_atom_site_fract_z
Ge1 0.0000 0.0000 0.0000
Sb1 0.3333 0.6667 0.4918
Pd1 0.6667 0.3333 0.7982
```

Mass density, g cm⁻³: 7.64

b:
Density functional theory data (PBE) for a relaxed structure of GeSbPd.

The structure in CIF format:
```
data_GeSbPd
_chemical_formula_sum 'Ge4 Sb4 Pd4'
_cell_length_a 6.636
_cell_length_b 6.538
_cell_length_c 6.668
_cell_angle_alpha 90.00
_cell_angle_beta 119.82
_cell_angle_gamma 90.00
_space_group_name_H-M_alt 'P 1 21/c 1'
_space_group_IT_number 14
loop_
_space_group_symop_operation_xyz
'x,y,z'
'-x,-y,-z'
'-x,y+1/2,-z+1/2'
'x,-y+1/2,z+1/2'
loop_
_atom_site_label
_atom_site_fract_x
_atom_site_fract_y
_atom_site_fract_z
Ge1 0.157 0.142 0.323
Sb1 0.339 0.626 0.185
Pd1 0.223 0.006 0.001
```

Mass density, g cm⁻³: 7.96

Short version: a is the least stable of them.

a:
Density functional theory data (PBE) for a relaxed structure of Ge2Sb2Pd.

The structure in CIF format:
```
data_Ge2Sb2Pd
_chemical_formula_sum 'Ge4 Sb4 Pd2'
_cell_length_a 6.414
_cell_length_b 6.414
_cell_length_c 5.607
_cell_angle_alpha 90.00
_cell_angle_beta 90.00
_cell_angle_gamma 90.00
_space_group_name_H-M_alt 'P 4/m b m'
_space_group_IT_number 127
_space_group_name_Hall '-P 4 2ab'
loop_
_atom_site_label
_atom_site_fract_x
_atom_site_fract_y
_atom_site_fract_z
Ge1 0.139 0.361 0.000
Sb1 0.214 0.286 0.500
Pd1 0.000 0.000 0.000
```

Mass density, g cm⁻³: 7.13

b:
Density functional theory data (PBE) for a relaxed structure of Ge2Sb2Pd.

The structure in CIF format:
```
data_Ge2Sb2Pd
_chemical_formula_sum 'Ge4 Sb4 Pd2'
_cell_length_a 7.312
_cell_length_b 7.312
_cell_length_c 4.386
_cell_angle_alpha 90.00
_cell_angle_beta 90.00
_cell_angle_gamma 90.00
_space_group_name_H-M_alt 'P 4/m b m'
_space_group_IT_number 127
_space_group_name_Hall '-P 4 2ab'
loop_
_atom_site_label
_atom_site_fract_x
_atom_site_fract_y
_atom_site_fract_z
Ge1 0.131 0.369 0.000
Sb1 0.171 0.671 0.500
Pd1 0.000 0.000 0.500
```

Mass density, g cm⁻³: 7.01

Short version: b is the least stable of them.

a:
Density functional theory data (PBE) for a relaxed structure of GeSb2Pd8.

The structure in CIF format:
```
data_GeSb2Pd8
_chemical_formula_sum 'Ge2 Sb4 Pd16'
_cell_length_a 4.122
_cell_length_b 7.600
_cell_length_c 11.866
_cell_angle_alpha 90.00
_cell_angle_beta 90.00
_cell_angle_gamma 90.00
_space_group_name_H-M_alt 'I m m m'
_space_group_IT_number 71
_space_group_name_Hall '-I 2 2'
loop_
_atom_site_label
_atom_site_fract_x
_atom_site_fract_y
_atom_site_fract_z
Ge1 0.000 0.000 0.000
Sb1 0.000 0.000 0.312
Pd1 0.000 0.189 0.500
Pd2 0.000 0.267 0.162
Pd3 0.000 0.500 0.373
```

Mass density, g cm⁻³: 10.43

b:
Density functional theory data (PBE) for a relaxed structure of GeSb2Pd8.

The structure in CIF format:
```
data_GeSb2Pd8
_chemical_formula_sum 'Ge2 Sb4 Pd16'
_cell_length_a 14.419
_cell_length_b 4.317
_cell_length_c 6.424
_cell_angle_alpha 90.00
_cell_angle_beta 112.74
_cell_angle_gamma 90.00
_space_group_name_H-M_alt 'C 1 2/m 1'
_space_group_IT_number 12
loop_
_space_group_symop_operation_xyz
'x,y,z'
'-x,-y,-z'
'-x,y,-z'
'x,-y,z'
'x+1/2,y+1/2,z'
'-x+1/2,-y+1/2,-z'
'-x+1/2,y+1/2,-z'
'x+1/2,-y+1/2,z'
loop_
_atom_site_label
_atom_site_fract_x
_atom_site_fract_y
_atom_site_fract_z
Ge1 0.000 0.000 0.000
Sb1 0.177 0.500 0.672
Pd1 0.025 0.500 0.806
Pd2 0.090 0.000 0.431
Pd3 0.165 0.000 0.938
Pd4 0.189 0.500 0.268
```

Mass density, g cm⁻³: 10.51

Short version: a is the least stable of them.

a:
Density functional theory data (PBE) for a relaxed structure of Ge2SbPd2.

The structure in CIF format:
```
data_Ge2SbPd2
_chemical_formula_sum 'Ge4 Sb2 Pd4'
_cell_length_a 7.824
_cell_length_b 7.824
_cell_length_c 3.031
_cell_angle_alpha 90.00
_cell_angle_beta 90.00
_cell_angle_gamma 90.00
_space_group_name_H-M_alt 'P 4/m b m'
_space_group_IT_number 127
_space_group_name_Hall '-P 4 2ab'
loop_
_atom_site_label
_atom_site_fract_x
_atom_site_fract_y
_atom_site_fract_z
Ge1 0.152 0.348 0.000
Sb1 0.000 0.000 0.000
Pd1 0.132 0.632 0.500
```

Mass density, g cm⁻³: 8.59

b:
Density functional theory data (PBE) for a relaxed structure of Ge2SbPd2.

The structure in CIF format:
```
data_Ge2SbPd2
_chemical_formula_sum 'Ge4 Sb2 Pd4'
_cell_length_a 7.661
_cell_length_b 7.661
_cell_length_c 3.126
_cell_angle_alpha 90.00
_cell_angle_beta 90.00
_cell_angle_gamma 90.00
_space_group_name_H-M_alt 'P 4/m b m'
_space_group_IT_number 127
_space_group_name_Hall '-P 4 2ab'
loop_
_atom_site_label
_atom_site_fract_x
_atom_site_fract_y
_atom_site_fract_z
Ge1 0.149 0.351 0.000
Sb1 0.000 0.000 0.500
Pd1 0.140 0.640 0.500
```

Mass density, g cm⁻³: 8.69

c:
Density functional theory data (PBE) for a relaxed structure of Ge2SbPd2.

The structure in CIF format:
```
data_Ge2SbPd2
_chemical_formula_sum 'Ge4 Sb2 Pd4'
_cell_length_a 4.434
_cell_length_b 4.434
_cell_length_c 9.772
_cell_angle_alpha 90.00
_cell_angle_beta 90.00
_cell_angle_gamma 90.00
_space_group_name_H-M_alt 'I 4/m m m'
_space_group_IT_number 139
_space_group_name_Hall '-I 4 2'
loop_
_atom_site_label
_atom_site_fract_x
_atom_site_fract_y
_atom_site_fract_z
Ge1 0.000 0.000 0.125
Sb1 0.000 0.000 0.500
Pd1 0.000 0.500 0.250
```

Mass density, g cm⁻³: 8.30

Short version: a is the least stable of them.